CaFe3Co5O16 (GGA+U, relaxed); crystal system = triclinic; final energy = -147.3 eV for the cell shown; M_tot = 2.97 μB/f.u.
1.0
5.763 0.136 0.167
2.812 5.077 0.250
0.891 0.449 9.362
Co O Fe Ca
5 16 3 1
Cartesian
5.762 3.451 0.401
4.355 4.291 2.766
3.739 3.901 7.782
2.323 1.391 7.700
3.756 2.275 5.106
8.049 4.763 8.834
2.979 3.443 3.838
6.673 2.314 8.741
2.942 5.075 1.808
7.031 2.710 1.583
0.961 0.529 6.634
4.953 3.111 6.512
2.510 2.975 6.674
4.508 0.944 3.847
1.500 0.721 3.448
4.536 2.745 1.634
5.740 4.890 1.647
3.679 0.880 6.493
5.167 4.746 8.709
5.789 3.425 3.720
3.692 2.249 8.689
7.261 4.309 2.792
5.206 1.477 7.733
5.833 1.734 2.737
6.754 4.128 5.627